[1]
PBE Sb3IrS6, optimized geometry; ΔE_f (raw) = -2.53 eV/f.u.; E = -4.853 eV per atom; space-group type = P2_1/m, No. 11
1.0
3.735 0.000 0.000
0.000 8.733 -1.840
0.000 3.552 13.815
Sb Ir S
6 2 12
Cartesian
0.934 3.438 7.094
2.801 8.846 4.881
0.934 5.733 2.889
2.801 6.551 9.086
0.934 3.079 11.821
2.801 9.206 0.155
0.934 3.075 -0.035
2.801 9.209 12.011
0.934 6.819 7.416
2.801 5.465 4.559
0.934 7.189 -1.457
2.801 5.095 13.432
0.934 9.997 6.459
2.801 2.288 5.516
0.934 8.251 2.864
2.801 4.034 9.111
0.934 7.710 11.663
2.801 4.574 0.312
0.934 2.231 2.193
2.801 10.054 9.782



[2]
PBE SbIr3S, optimized geometry; ΔE_f (raw) = 3.85 eV/f.u.; E = -6.198 eV per atom; space-group type = Pm-3m, No. 221; energy above the lowest structure with this stoichiometry = 0.0 kJ/mol of atoms
1.0
4.497 0.000 0.000
0.000 4.497 0.000
0.000 0.000 4.497
Sb S Ir
1 1 3
Cartesian
2.248 2.248 2.248
0.000 0.000 0.000
0.000 2.248 0.000
0.000 0.000 2.248
2.248 0.000 0.000



[3]
PBE SbIrS3, optimized geometry; ΔE_f (raw) = 1.92 eV/f.u.; E = -4.690 eV per atom; space-group type = Pm-3m, No. 221; energy above the lowest structure with this stoichiometry = 60.4 kJ/mol of atoms
1.0
-0.444 -3.154 -3.402
-0.487 -3.367 3.185
-4.613 0.659 -0.009
Sb S Ir
1 3 1
Cartesian
-2.772 -2.931 -0.113
-0.244 -1.683 1.593
-2.307 0.330 -0.005
-0.222 -1.577 -1.701
0.000 0.000 0.000



[4]
PBE SbIrS2, optimized geometry; ΔE_f (raw) = -0.92 eV/f.u.; E = -5.539 eV per atom; space-group type = R-3m, No. 166
1.0
-6.083 -3.649 -4.089
-4.643 -6.355 -2.259
-7.002 -4.189 -0.682
Sb S Ir
1 2 1
Cartesian
0.000 0.000 0.000
-15.654 -12.532 -6.208
-2.075 -1.661 -0.823
-8.864 -7.096 -3.515



[5]
PBE SbIrS2, optimized geometry; ΔE_f (raw) = 0.77 eV/f.u.; E = -5.117 eV per atom; space-group type = I-42d, No. 122
1.0
6.000 0.000 0.000
0.000 6.000 0.000
3.000 3.000 5.277
Sb S Ir
2 4 2
Cartesian
3.000 3.000 0.000
3.000 6.000 2.639
4.913 1.500 1.319
1.087 4.500 1.319
4.500 4.087 3.958
7.499 7.912 3.958
0.000 0.000 0.000
6.000 3.000 2.639



[6]
PBE Sb2IrSeS, optimized geometry; ΔE_f (raw) = 1.67 eV/f.u.; E = -4.609 eV per atom; space-group type = P4/mmm, No. 123; energy above the lowest structure with this stoichiometry = 0.0 kJ/mol of atoms
1.0
-3.796 1.287 -3.645
-2.204 -3.585 1.029
-2.711 2.756 3.796
Sb S Ir Se
2 1 1 1
Cartesian
-1.356 1.378 1.898
-1.898 0.644 -1.823
-1.102 -1.793 0.514
0.000 0.000 0.000
-4.355 0.229 0.590



[7]
PBE Sb2IrSeS, optimized geometry; ΔE_f (raw) = 5.36 eV/f.u.; E = -3.871 eV per atom; space-group type = P4/mmm, No. 123; energy above the lowest structure with this stoichiometry = 71.2 kJ/mol of atoms
1.0
-3.031 3.466 -2.140
-3.581 -1.699 2.319
0.959 3.199 3.824
Sb S Ir Se
2 1 1 1
Cartesian
0.479 1.600 1.912
-1.515 1.733 -1.070
0.000 0.000 0.000
-2.826 2.483 2.001
-1.790 -0.849 1.159



[8]
PBE Ta2SbIrS, optimized geometry; ΔE_f (raw) = 4.13 eV/f.u.; E = -7.336 eV per atom; space-group type = P4/mmm, No. 123
1.0
-3.039 2.878 -1.596
-2.676 -0.480 4.230
2.269 3.406 1.822
Sb S Ir Ta
1 1 1 2
Cartesian
-1.338 -0.240 2.115
0.000 0.000 0.000
-1.723 2.902 2.228
1.134 1.703 0.911
-1.520 1.439 -0.798



[9]
PBE YSb2IrS, optimized geometry; ΔE_f (raw) = 6.33 eV/f.u.; E = -4.274 eV per atom; space-group type = P4/mmm, No. 123
1.0
-0.402 -2.527 -5.184
-3.090 -3.445 1.918
-4.532 3.352 -1.282
Y Sb S Ir
1 2 1 1
Cartesian
0.000 0.000 0.000
-2.266 1.676 -0.641
-0.201 -1.263 -2.592
-4.012 -1.310 -2.274
-1.545 -1.722 0.959



[10]
PBE YSbIrS2, optimized geometry; ΔE_f (raw) = -0.60 eV/f.u.; E = -5.660 eV per atom; space-group type = P4/mmm, No. 123
1.0
-0.305 4.554 0.492
-5.118 -0.593 2.317
1.920 -0.321 4.158
Y Sb S Ir
1 1 2 1
Cartesian
-2.559 -0.296 1.159
-1.751 1.821 3.483
0.960 -0.160 2.079
-0.152 2.277 0.246
0.000 0.000 0.000



- Look up the ΔE_f (raw) of the third one.
  1.92 eV/f.u.